Density functional theory data (PBE-GGA) for a geometry-optimized InCu4 structure. Values from VASP.

The structure in Quantum ESPRESSO input format:
```
&SYSTEM
  ibrav = 0, nat = 10, ntyp = 2
/
ATOMIC_SPECIES
In 114.82 In.upf
Cu 63.55 Cu.upf
ATOMIC_POSITIONS crystal
In 0.8942 0.1442 0.7885
In 0.1058 0.8558 0.2115
Cu 0.1167 0.3667 0.2334
Cu 0.8833 0.6333 0.7666
Cu 0.5000 0.0000 0.0000
Cu 0.5000 0.5000 0.0000
Cu 0.6968 0.2133 0.3936
Cu 0.3032 0.7867 0.6064
Cu 0.3032 0.3197 0.6064
Cu 0.6968 0.6803 0.3936
CELL_PARAMETERS angstrom
-1.6817 3.4670 1.5225
-3.4677 0.0829 -4.0191
-1.4872 -5.2527 4.6813
```

Summary:
Space-group type ... Imma
Energy of formation from the pure elements ... 2.7 kJ per mole of atoms